(1)
Material: Th2CdAg3
Method: DFT, PBE
State: optimized geometry

Unit cell a=6.6703 b=9.9411 c=17.1713 alpha=90.00 beta=90.00 gamma=90.00
Space group Fmmm (No. 69)
Asymmetric unit:
Th 0.2446 0.0000 0.0000 (multiplicity 8)
Th 0.2500 0.2500 0.2500 (multiplicity 8)
Cd 0.0000 0.0000 0.3334 (multiplicity 8)
Ag 0.0000 0.0000 0.1663 (multiplicity 8)
Ag 0.0000 0.2500 0.0831 (multiplicity 16)

Calculated values
Its density of states at the Fermi level is 0.69 states/eV per atom. The total energy comes out at -4.22 eV per atom. For the theoretical density, the calculation gives 10.50 g/cm3.

---

(2)
Material: TiCoRu2Rh
Method: DFT, PBE
State: optimized geometry

Unit cell a=4.3482 b=4.3482 c=4.3140 alpha=90.00 beta=90.00 gamma=90.00
Space group P4/mmm (No. 123)
Asymmetric unit:
Ti 0.0000 0.0000 0.0000 (multiplicity 1)
Co 0.0000 0.0000 0.5000 (multiplicity 1)
Ru 0.0000 0.5000 0.5000 (multiplicity 2)
Rh 0.5000 0.5000 0.0000 (multiplicity 1)

Calculated values
Its density of states at the Fermi level is 1.72 states/eV per atom. The total energy comes out at -7.30 eV per atom. For the theoretical density, the calculation gives 8.38 g/cm3.

---

(3)
Material: Li3GeN
Method: DFT, PBE
State: optimized geometry

Unit cell a=3.9694 b=3.9694 c=3.9694 alpha=90.00 beta=90.00 gamma=90.00
Space group Pm-3m (No. 221)
Asymmetric unit:
Li 0.0000 0.0000 0.5000 (multiplicity 3)
Ge 0.5000 0.5000 0.5000 (multiplicity 1)
N 0.0000 0.0000 0.0000 (multiplicity 1)

Calculated values
Its density of states at the Fermi level is 0.44 states/eV per atom. As for the polymorph energy (0 for the lowest one): 261 meV per atom. The total energy comes out at -3.76 eV per atom. The value obtained for the formation energy (no corrections) is -3 kJ/mol of atoms. For the theoretical density, the calculation gives 2.85 g/cm3.

---

(4)
Material: PrYHo3
Method: DFT, PBE
State: optimized geometry

Unit cell a=3.6474 b=16.8059 c=11.5806 alpha=90.00 beta=90.00 gamma=90.00
Space group Cmcm (No. 63)
Asymmetric unit:
Pr 0.0000 0.1929 0.2500 (multiplicity 4)
Y 0.0000 0.4817 0.7500 (multiplicity 4)
Ho 0.0000 0.1457 0.7500 (multiplicity 4)
Ho 0.0000 0.3450 0.0022 (multiplicity 8)

Calculated values
Its density of states at the Fermi level is 1.72 states/eV per atom. As for the polymorph energy (0 for the lowest one): 321 meV per atom. The total energy comes out at -4.66 eV per atom. For the theoretical density, the calculation gives 6.78 g/cm3.

---

(5)
Material: Ca8HN4
Method: DFT, PBE
State: optimized geometry

Unit cell a=17.9539 b=3.5931 c=11.9902 alpha=90.00 beta=131.41 gamma=90.00
Space group Cm (No. 8)
Asymmetric unit:
Ca 0.0000 0.0000 0.0000 (multiplicity 2)
Ca 0.0262 0.0000 0.7518 (multiplicity 2)
Ca 0.0736 0.0000 0.4842 (multiplicity 2)
Ca 0.1418 0.5000 0.3394 (multiplicity 2)
Ca 0.1924 0.5000 0.0529 (multiplicity 2)
Ca 0.2185 0.5000 0.8105 (multiplicity 2)
Ca 0.3175 0.0000 0.6814 (multiplicity 2)
Ca 0.3991 0.0000 0.1291 (multiplicity 2)
H 0.0446 0.5000 0.6169 (multiplicity 2)
N 0.0063 0.5000 0.8694 (multiplicity 2)
N 0.0191 0.0000 0.2358 (multiplicity 2)
N 0.1984 0.5000 0.5826 (multiplicity 2)
N 0.2127 0.0000 0.9410 (multiplicity 2)

Calculated values
Its density of states at the Fermi level is 0.27 states/eV per atom. As for the polymorph energy (0 for the lowest one): 63 meV per atom. The total energy comes out at -4.70 eV per atom. For the theoretical density, the calculation gives 2.16 g/cm3.

---

(6)
Material: Cs2TlPb2
Method: DFT, PBE
State: optimized geometry

Unit cell a=13.7701 b=11.1017 c=8.8569 alpha=90.00 beta=118.15 gamma=90.00
Space group C2/m (No. 12)
Asymmetric unit:
Cs 0.1817 0.2167 0.2012 (multiplicity 8)
Tl 0.0000 0.2262 0.5000 (multiplicity 4)
Pb 0.0717 0.0000 0.7868 (multiplicity 4)
Pb 0.1645 0.0000 0.5283 (multiplicity 4)

Calculated values
As for the polymorph energy (0 for the lowest one): 0 meV per atom. The total energy comes out at -2.44 eV per atom. For the theoretical density, the calculation gives 4.92 g/cm3.

---

(7)
Material: La2Fe2C3
Method: DFT, PBE
State: optimized geometry

Unit cell a=10.0502 b=3.5597 c=5.8257 alpha=90.00 beta=103.42 gamma=90.00
Space group C2/m (No. 12)
Asymmetric unit:
La 0.1042 0.0000 0.3177 (multiplicity 4)
Fe 0.1615 0.5000 0.9127 (multiplicity 4)
C 0.0000 0.5000 0.0000 (multiplicity 2)
C 0.1985 0.0000 0.7961 (multiplicity 4)

Calculated values
Its density of states at the Fermi level is 0.62 states/eV per atom. The total energy comes out at -7.93 eV per atom. For the theoretical density, the calculation gives 6.97 g/cm3.

---

(8)
Material: Hf2CdGeP
Method: DFT, PBE
State: optimized geometry

Unit cell a=5.2962 b=5.2962 c=4.5157 alpha=90.00 beta=90.00 gamma=90.00
Space group P4/mmm (No. 123)
Asymmetric unit:
Hf 0.0000 0.5000 0.0000 (multiplicity 2)
Cd 0.0000 0.0000 0.0000 (multiplicity 1)
Ge 0.5000 0.5000 0.5000 (multiplicity 1)
P 0.0000 0.0000 0.5000 (multiplicity 1)

Calculated values
Its density of states at the Fermi level is 0.97 states/eV per atom. The total energy comes out at -4.89 eV per atom. For the theoretical density, the calculation gives 7.51 g/cm3.